# 1
Here is crystalline Cr3InPd12 at its relaxed geometry from Alexandria. Energies are from PBE.

Unit cell a=3.940 b=3.940 c=15.759 alpha=90.00 beta=90.00 gamma=90.00
Fractional coordinates of all 16 atoms:
Cr 0.000 0.000 0.000
Cr 0.000 0.000 0.245
Cr 0.000 0.000 0.755
In 0.000 0.000 0.500
Pd 0.000 0.500 0.123
Pd 0.000 0.500 0.367
Pd 0.000 0.500 0.633
Pd 0.000 0.500 0.877
Pd 0.500 0.000 0.123
Pd 0.500 0.000 0.367
Pd 0.500 0.000 0.633
Pd 0.500 0.000 0.877
Pd 0.500 0.500 0.000
Pd 0.500 0.500 0.245
Pd 0.500 0.500 0.500
Pd 0.500 0.500 0.755

Properties
* E_tot: -6.0343 eV/atom
* calculated volume: 15.3 A^3/atom
* spin magnetization: 8.2 μB per formula unit
* energy relative to the elements: -15.8 kJ/mol of atoms

# 2
Here is crystalline RbTlSbPb at its relaxed geometry from Alexandria. Energies are from PBE.

Unit cell a=5.793 b=5.793 c=5.793 alpha=60.00 beta=60.00 gamma=60.00
Fractional coordinates of all 4 atoms:
Rb 0.000 0.000 0.000
Tl 0.750 0.750 0.750
Sb 0.250 0.250 0.250
Pb 0.500 0.500 0.500

Properties
* excess energy over the best structure of this formula in the dataset: 44 meV per atom
* uncorrected formation energy: -0.03 eV per atom
* E_tot: -2.8168 eV/atom
* calculated volume: 34.4 A^3/atom
* spin magnetization: 0.0 μB per formula unit

# 3
Here is crystalline HoMg5Ag at its relaxed geometry from Alexandria. Energies are from PBE.

Unit cell a=4.679 b=4.679 c=7.709 alpha=90.00 beta=90.00 gamma=90.00
Fractional coordinates of all 7 atoms:
Ho 0.000 0.000 0.000
Mg 0.000 0.500 0.295
Mg 0.000 0.500 0.705
Mg 0.500 0.000 0.295
Mg 0.500 0.000 0.705
Mg 0.500 0.500 0.000
Ag 0.000 0.000 0.500

Properties
* E_tot: -2.2793 eV/atom
* calculated volume: 24.1 A^3/atom
* spin magnetization: 0.0 μB per formula unit
* energy relative to the elements: -7.6 kJ/mol of atoms

# 4
Here is crystalline Ti2TlCrIn at its relaxed geometry from Alexandria. Energies are from PBE.

Unit cell a=4.951 b=4.951 c=4.779 alpha=90.00 beta=90.00 gamma=90.00
Fractional coordinates of all 5 atoms:
Ti 0.000 0.500 0.000
Ti 0.500 0.000 0.000
Tl 0.000 0.000 0.500
Cr 0.500 0.500 0.500
In 0.500 0.500 0.000

Properties
* E_tot: -4.9422 eV/atom
* calculated volume: 23.4 A^3/atom
* spin magnetization: 2.6 μB per formula unit
* energy relative to the elements: 112.1 kJ/mol of atoms

# 5
Here is crystalline NaH3W at its relaxed geometry from Alexandria. Energies are from PBE.

Unit cell a=3.669 b=3.669 c=3.669 alpha=90.00 beta=90.00 gamma=90.00
Fractional coordinates of all 5 atoms:
Na 0.000 0.000 0.000
H 0.000 0.500 0.500
H 0.500 0.000 0.500
H 0.500 0.500 0.000
W 0.500 0.500 0.500

Properties
* excess energy over the best structure of this formula in the dataset: 0 meV per atom
* E_tot: -4.5055 eV/atom
* calculated volume: 9.9 A^3/atom
* spin magnetization: 1.6 μB per formula unit

# 6
Here is crystalline AcGaCo at its relaxed geometry from Alexandria. Energies are from PBE.

Unit cell a=4.265 b=4.265 c=4.371 alpha=90.00 beta=90.00 gamma=120.00
Fractional coordinates of all 3 atoms:
Ac 0.000 0.000 0.000
Ga 0.667 0.333 0.500
Co 0.333 0.667 0.499

Properties
* excess energy over the best structure of this formula in the dataset: 63 meV per atom
* E_tot: -5.0282 eV/atom
* calculated volume: 23.0 A^3/atom
* spin magnetization: 0.0 μB per formula unit
* energy relative to the elements: -27.1 kJ/mol of atoms

# 7
Here is crystalline Mg2Cd8Pd at its relaxed geometry from Alexandria. Energies are from PBE.

Unit cell a=7.588 b=7.588 c=4.872 alpha=101.55 beta=101.55 gamma=81.89
Fractional coordinates of all 11 atoms:
Mg 0.132 0.132 0.057
Mg 0.868 0.868 0.943
Cd 0.115 0.633 0.482
Cd 0.281 0.281 0.645
Cd 0.367 0.885 0.518
Cd 0.427 0.427 0.205
Cd 0.573 0.573 0.795
Cd 0.633 0.115 0.482
Cd 0.719 0.719 0.355
Cd 0.885 0.367 0.518
Pd 0.000 0.000 0.500

Properties
* excess energy over the best structure of this formula in the dataset: 15 meV per atom
* E_tot: -1.4914 eV/atom
* calculated volume: 24.3 A^3/atom
* spin magnetization: 0.0 μB per formula unit
* energy relative to the elements: -6.2 kJ/mol of atoms

# 8
Here is crystalline Nd4ZnGa12 at its relaxed geometry from Alexandria. Energies are from PBE.

Unit cell a=7.679 b=7.679 c=7.679 alpha=109.47 beta=109.47 gamma=109.47
Fractional coordinates of all 17 atoms:
Nd 0.000 0.000 0.500
Nd 0.000 0.500 0.000
Nd 0.500 0.000 0.000
Nd 0.500 0.500 0.500
Zn 0.000 0.000 0.000
Ga 0.000 0.305 0.305
Ga 0.000 0.695 0.695
Ga 0.250 0.500 0.750
Ga 0.250 0.750 0.500
Ga 0.305 0.000 0.305
Ga 0.305 0.305 0.000
Ga 0.500 0.250 0.750
Ga 0.500 0.750 0.250
Ga 0.695 0.000 0.695
Ga 0.695 0.695 0.000
Ga 0.750 0.250 0.500
Ga 0.750 0.500 0.250

Properties
* E_tot: -3.8458 eV/atom
* calculated volume: 20.5 A^3/atom
* spin magnetization: 0.0 μB per formula unit
* energy relative to the elements: -49.4 kJ/mol of atoms

# 9
Here is crystalline BaY2Tc at its relaxed geometry from Alexandria. Energies are from PBE.

Unit cell a=5.658 b=5.658 c=5.658 alpha=127.32 beta=127.32 gamma=77.72
Fractional coordinates of all 4 atoms:
Ba 0.000 0.000 0.000
Y 0.500 0.500 0.000
Y 0.750 0.250 0.500
Tc 0.250 0.750 0.500

Properties
* excess energy over the best structure of this formula in the dataset: 555 meV per atom
* E_tot: -5.6441 eV/atom
* calculated volume: 27.8 A^3/atom
* spin magnetization: 0.0 μB per formula unit
* energy relative to the elements: 63.7 kJ/mol of atoms

# 10
Here is crystalline BaTlS3 at its relaxed geometry from Alexandria. Energies are from PBE.

Unit cell a=5.960 b=5.960 c=5.960 alpha=90.00 beta=90.00 gamma=90.00
Fractional coordinates of all 5 atoms:
Ba 0.000 0.000 0.000
Tl 0.500 0.500 0.500
S 0.000 0.000 0.500
S 0.000 0.500 0.000
S 0.500 0.000 0.000

Properties
* excess energy over the best structure of this formula in the dataset: 585 meV per atom
* uncorrected formation energy: 0.01 eV per atom
* E_tot: -3.3199 eV/atom
* calculated volume: 42.3 A^3/atom
* spin magnetization: 3.0 μB per formula unit

# 11
Here is crystalline Dy2HfBr at its relaxed geometry from Alexandria. Energies are from PBE.

Unit cell a=11.318 b=11.318 c=11.318 alpha=16.91 beta=16.91 gamma=16.91
Fractional coordinates of all 4 atoms:
Dy 0.095 0.095 0.095
Dy 0.905 0.905 0.905
Hf 0.000 0.000 0.000
Br 0.500 0.500 0.500

Properties
* uncorrected formation energy: -0.05 eV per atom
* E_tot: -5.2532 eV/atom
* calculated volume: 26.8 A^3/atom
* spin magnetization: 0.0 μB per formula unit

# 12
Here is crystalline Dy2ErTh2 at its relaxed geometry from Alexandria. Energies are from PBE.

Unit cell a=14.249 b=11.664 c=8.545 alpha=88.27 beta=54.90 gamma=36.83
Fractional coordinates of all 10 atoms:
Dy 0.045 0.705 0.045
Dy 0.295 0.955 0.295
Dy 0.705 0.045 0.705
Dy 0.955 0.295 0.955
Er 0.375 0.375 0.375
Er 0.625 0.625 0.625
Th 0.000 0.500 0.500
Th 0.500 0.000 0.500
Th 0.500 0.500 0.000
Th 0.500 0.500 0.500

Properties
* excess energy over the best structure of this formula in the dataset: 229 meV per atom
* E_tot: -5.2763 eV/atom
* calculated volume: 33.5 A^3/atom
* spin magnetization: 0.0 μB per formula unit
* energy relative to the elements: 42.9 kJ/mol of atoms

# 13
Here is crystalline LiRuSe at its relaxed geometry from Alexandria. Energies are from PBE.

Unit cell a=4.085 b=4.085 c=5.954 alpha=90.00 beta=90.00 gamma=90.00
Fractional coordinates of all 6 atoms:
Li 0.250 0.250 0.178
Li 0.750 0.750 0.822
Ru 0.250 0.750 0.500
Ru 0.750 0.250 0.500
Se 0.250 0.250 0.738
Se 0.750 0.750 0.262

Properties
* excess energy over the best structure of this formula in the dataset: 0 meV per atom
* uncorrected formation energy: -0.42 eV per atom
* E_tot: -5.3091 eV/atom
* calculated volume: 16.6 A^3/atom
* spin magnetization: 0.0 μB per formula unit